Material: Mg2BeSnSe
Method: DFT, PBE-GGA
State: relaxed

Properties
The calculation puts the magnetic moment at 0.00 μB per atom. The density of states at the Fermi level comes out at 1.58 states/eV/cell. Its space group is P4/mmm (123). Its calculated total energy is -2.12 eV/atom. For the raw formation energy, the calculation gives 0.760 eV per atom.

Structure (POSCAR):
```
Mg2BeSnSe
1.0
-2.091 -1.503 4.694
-3.547 -3.343 -2.651
3.546 -4.000 0.299
Be Mg Sn Se
1 2 1 1
direct
0.500 0.500 0.500
0.000 0.000 0.500
0.500 0.000 0.000
0.000 0.000 0.000
0.000 0.500 0.000
```

Material: V5Ge2P
Method: DFT, PBE-GGA
State: relaxed

Properties
The calculation puts the magnetic moment at 0.00 μB per atom. The density of states at the Fermi level comes out at 13.23 states/eV/cell. Its space group is Pbam (55). Its calculated total energy is -7.87 eV/atom. Its formation energy is -0.338 eV per atom.

Structure (POSCAR):
```
V5Ge2P
1.0
4.055 0.000 0.000
0.000 5.254 0.000
0.000 0.000 10.175
V Ge P
10 4 2
direct
0.000 0.000 0.500
0.000 0.500 0.000
0.000 0.924 0.236
0.000 0.076 0.764
0.000 0.576 0.736
0.000 0.424 0.264
0.500 0.664 0.403
0.500 0.336 0.597
0.500 0.836 0.903
0.500 0.164 0.097
0.500 0.645 0.151
0.500 0.355 0.849
0.500 0.855 0.651
0.500 0.145 0.349
0.000 0.500 0.500
0.000 0.000 0.000
```

Material: NbZn2F
Method: DFT, PBE-GGA
State: relaxed

Properties
The calculation puts the magnetic moment at 0.00 μB per atom. The density of states at the Fermi level comes out at 2.99 states/eV/cell. Its space group is Fm-3m (225). For the offset from the most stable computed form, the calculation gives 151 kJ/mol of formula units. Its calculated total energy is -3.49 eV/atom. For the raw formation energy, the calculation gives 0.128 eV per atom.

Structure (POSCAR):
```
NbZn2F
1.0
-3.261 0.759 2.963
-2.874 3.363 -0.650
-4.250 -0.869 -1.081
Nb Zn F
1 2 1
direct
0.500 0.500 0.500
0.250 0.250 0.250
0.750 0.750 0.750
0.000 0.000 0.000
```

Material: BaTiGaN2
Method: DFT, PBE-GGA
State: relaxed

Properties
The calculation puts the magnetic moment at 0.27 μB per atom. The density of states at the Fermi level comes out at 7.53 states/eV/cell. Its space group is P4/mmm (123). Its calculated total energy is -3.80 eV/atom. For the raw formation energy, the calculation gives 2.098 eV per atom.

Structure (POSCAR):
```
BaTiGaN2
1.0
4.500 0.000 0.000
0.000 6.086 0.000
0.000 0.000 4.500
N Ba Ga Ti
2 1 1 1
direct
0.000 0.000 0.500
0.500 0.000 0.000
0.000 0.000 0.000
0.500 0.500 0.500
0.000 0.500 0.000
```

Material: NbCI2
Method: DFT, PBE-GGA
State: relaxed

Properties
The calculation puts the magnetic moment at 0.00 μB per atom. The density of states at the Fermi level comes out at 10.66 states/eV/cell. Its space group is I-42d (122). For the offset from the most stable computed form, the calculation gives 62 kJ/mol of formula units. Its calculated total energy is -3.77 eV/atom. For the raw formation energy, the calculation gives 1.824 eV per atom.

Structure (POSCAR):
```
NbCI2
1.0
-5.041 0.437 -3.444
3.394 -0.658 -5.051
-1.495 -5.688 -3.972
I Nb C
4 2 2
direct
0.592 0.125 0.250
0.158 0.625 0.250
0.375 0.408 0.750
0.875 0.842 0.750
0.000 0.000 0.000
0.750 0.250 0.500
0.500 0.500 0.000
0.250 0.750 0.500
```

Material: CePrO4
Method: DFT, PBE-GGA
State: relaxed

Properties
The calculation puts the magnetic moment at 0.17 μB per atom. The density of states at the Fermi level comes out at 7.00 states/eV/cell. Its space group is R-3m (166). Its calculated total energy is -8.09 eV/atom. For the raw formation energy, the calculation gives -2.998 eV per atom.

Structure (POSCAR):
```
CePrO4
1.0
3.968 -0.001 -0.002
1.983 3.437 -0.001
1.981 1.144 6.394
Pr O Ce
1 4 1
direct
0.500 0.500 0.500
0.631 0.631 0.108
0.369 0.369 0.892
0.119 0.119 0.643
0.881 0.881 0.357
0.000 0.000 0.000
```

Material: YSc2Ni
Method: DFT, PBE-GGA
State: relaxed

Properties
The calculation puts the magnetic moment at 0.30 μB per atom. The density of states at the Fermi level comes out at 6.21 states/eV/cell. Its space group is Fm-3m (225). For the offset from the most stable computed form, the calculation gives 160 kJ/mol of formula units. Its calculated total energy is -6.07 eV/atom. Its formation energy is 0.160 eV per atom.

Structure (POSCAR):
```
YSc2Ni
1.0
3.705 -2.738 1.739
-0.401 -2.178 4.399
-0.480 -4.892 0.291
Y Ni Sc
1 1 2
direct
0.500 0.500 0.500
0.000 0.000 0.000
0.250 0.250 0.250
0.750 0.750 0.750
```

Material: KGaSiO4
Method: DFT, PBE-GGA
State: relaxed

Properties
The calculation puts the magnetic moment at 0.00 μB per atom. The density of states at the Fermi level comes out at 0.00 states/eV/cell. Its space group is P2_1/m (11). Its calculated total energy is -6.43 eV/atom. For the raw formation energy, the calculation gives -2.234 eV per atom.

Structure (POSCAR):
```
KGaSiO4
1.0
-2.839 -4.412 0.151
2.320 -1.649 -4.558
6.073 -3.370 4.311
K Ga Si O
2 2 2 8
direct
0.758 0.750 0.998
0.242 0.250 0.002
0.867 0.750 0.480
0.133 0.250 0.520
0.294 0.750 0.282
0.706 0.250 0.718
0.875 0.479 0.631
0.125 0.979 0.369
0.125 0.521 0.369
0.875 0.021 0.631
0.259 0.750 0.088
0.741 0.250 0.912
0.592 0.750 0.340
0.408 0.250 0.660
```

Material: Ce2InTe
Method: DFT, PBE-GGA
State: relaxed

Properties
The calculation puts the magnetic moment at 0.53 μB per atom. The density of states at the Fermi level comes out at 15.28 states/eV/cell. Its space group is R-3m (166). For the offset from the most stable computed form, the calculation gives 11 kJ/mol of formula units. Its calculated total energy is -5.14 eV/atom. For the raw formation energy, the calculation gives -0.706 eV per atom.

Structure (POSCAR):
```
Ce2InTe
1.0
4.335 0.000 0.000
2.168 3.754 0.000
2.168 1.251 7.985
Te Ce In
1 2 1
direct
0.500 0.500 0.500
0.248 0.248 0.257
0.752 0.752 0.743
0.000 0.000 0.000
```

Material: TeAu4
Method: DFT, PBE-GGA
State: relaxed

Properties
The calculation puts the magnetic moment at 0.00 μB per atom. The density of states at the Fermi level comes out at 1.75 states/eV/cell. Its space group is Im-3m (229). For the offset from the most stable computed form, the calculation gives 116 kJ/mol of formula units. Its calculated total energy is -2.85 eV/atom. For the raw formation energy, the calculation gives 0.400 eV per atom.

Structure (POSCAR):
```
TeAu4
1.0
-3.174 3.174 3.174
3.174 -3.174 3.174
3.174 3.174 -3.174
Te Au
1 4
direct
0.000 0.000 0.000
0.500 0.000 0.000
0.500 0.500 0.500
0.000 0.500 0.000
0.000 0.000 0.500
```

Material: Nd2ThPb
Method: DFT, PBE-GGA
State: relaxed

Properties
The calculation puts the magnetic moment at 0.00 μB per atom. The density of states at the Fermi level comes out at 3.00 states/eV/cell. Its space group is P4/mmm (123). For the offset from the most stable computed form, the calculation gives 0 kJ/mol of formula units. Its calculated total energy is -5.43 eV/atom. Its formation energy is -0.264 eV per atom.

Structure (POSCAR):
```
Nd2ThPb
1.0
-0.472 4.473 1.838
-4.531 -1.238 1.849
2.171 -1.534 4.292
Pb Nd Th
1 2 1
direct
0.500 0.500 0.500
0.000 0.000 0.500
0.000 0.500 0.000
0.500 0.000 0.000
```

The highest magnetic moment belongs to which entry? Ce2InTe

What is the formula in the third record? NbZn2F